1.
4
Lattice="3.1307 0.0000 0.0000 0.0000 3.1307 0.0000 0.0000 0.0000 5.8103" Properties=species:S:1:pos:R:3 comment="Zn2IrAu meta-GGA SCAN PBEsol geometry" magnetic_moment_mub_per_cell=0.00 formation_energy_kj_per_mol_atoms=-23 sg="No. 123" pbc="T T T"
Zn 0.0000 0.0000 1.3712
Zn 0.0000 0.0000 4.4390
Ir 1.5654 1.5654 0.0000
Au 1.5654 1.5654 2.9051


2.
3
Lattice="-1.5868 1.8533 4.3885 1.5868 -1.8533 4.3885 1.5868 1.8533 -4.3885" Properties=species:S:1:pos:R:3 comment="ZrIrAu meta-GGA SCAN PBEsol geometry" magnetic_moment_mub_per_cell=0.00 formation_energy_kj_per_mol_atoms=-73 sg="No. 44" relative_energy_mev_per_atom=0 pbc="T T T"
Zr 0.0000 0.0000 0.0000
Ir 0.0000 0.0000 3.0826
Au 0.0000 0.0000 5.9360


3.
3
Lattice="0.0000 3.1221 3.1221 3.1221 0.0000 3.1221 3.1221 3.1221 0.0000" Properties=species:S:1:pos:R:3 comment="ZrIrAu meta-GGA SCAN PBEsol geometry" magnetic_moment_mub_per_cell=0.00 formation_energy_kj_per_mol_atoms=-30 sg="No. 216" relative_energy_mev_per_atom=447 pbc="T T T"
Zr 0.0000 0.0000 0.0000
Ir 1.5611 1.5611 1.5611
Au 4.6832 4.6832 4.6832